Na2BiBSe4: optimized geometry, PBE.

Computed properties:
ΔE_f (raw)	-9.1	kcal/mol of atoms

Geometry as CIF:
```
data_Na2BiBSe4
_chemical_formula_sum 'Na8 Bi4 B4 Se16'
_cell_length_a 11.1873
_cell_length_b 12.9986
_cell_length_c 8.3366
_cell_angle_alpha 90.00
_cell_angle_beta 130.80
_cell_angle_gamma 90.00
_symmetry_space_group_name_H-M 'C 1 2/c 1'
_symmetry_Int_Tables_number 15
loop_
_symmetry_equiv_pos_as_xyz
'x,y,z'
'-x,-y,-z'
'-x,y,-z+1/2'
'x,-y,z+1/2'
'x+1/2,y+1/2,z'
'-x+1/2,-y+1/2,-z'
'-x+1/2,y+1/2,-z+1/2'
'x+1/2,-y+1/2,z+1/2'
loop_
_atom_site_label
_atom_site_fract_x
_atom_site_fract_y
_atom_site_fract_z
Na1 0.0000 0.0000 0.0000
Na2 0.2500 0.2500 0.0000
Bi1 0.0000 0.5000 0.0000
B1 0.2500 0.2500 0.5000
Se1 0.1090 0.2546 0.5421
Se2 0.2348 0.4660 0.9639
```


KCaCo2Te: optimized geometry, PBE.

Computed properties:
ΔE_f (raw)	28.3	kcal/mol of atoms

Geometry as CIF:
```
data_KCaCo2Te
_chemical_formula_sum 'K1 Ca1 Co2 Te1'
_cell_length_a 4.7924
_cell_length_b 4.7924
_cell_length_c 6.1945
_cell_angle_alpha 90.00
_cell_angle_beta 90.00
_cell_angle_gamma 90.00
_symmetry_space_group_name_H-M 'P 4/m m m'
_symmetry_Int_Tables_number 123
_symmetry_space_group_name_Hall '-P 4 2'
loop_
_atom_site_label
_atom_site_fract_x
_atom_site_fract_y
_atom_site_fract_z
K1 0.0000 0.0000 0.0000
Ca1 0.5000 0.5000 0.5000
Co1 0.0000 0.5000 0.0000
Te1 0.0000 0.0000 0.5000
```


NaAcDy: optimized geometry, PBE.

Computed properties:
formation enthalpy at 0 K	0.0943	eV/atom
excess energy over the best structure of this formula in the dataset	0.0	meV/atom

Geometry as CIF:
```
data_NaAcDy
_chemical_formula_sum 'Na2 Ac2 Dy2'
_cell_length_a 3.7161
_cell_length_b 5.8085
_cell_length_c 10.6187
_cell_angle_alpha 90.00
_cell_angle_beta 90.37
_cell_angle_gamma 90.00
_symmetry_space_group_name_H-M 'P 1 21/m 1'
_symmetry_Int_Tables_number 11
loop_
_symmetry_equiv_pos_as_xyz
'x,y,z'
'-x,-y,-z'
'-x,y+1/2,-z'
'x,-y+1/2,z'
loop_
_atom_site_label
_atom_site_fract_x
_atom_site_fract_y
_atom_site_fract_z
Na1 0.0207 0.2500 0.4159
Ac1 0.4952 0.2500 0.7750
Dy1 0.0010 0.2500 0.0799
```


Ac2B2MoN6: optimized geometry, PBE.

Computed properties:
ΔE_f (raw)	-21.7	kcal/mol of atoms

Geometry as CIF:
```
data_Ac2B2MoN6
_chemical_formula_sum 'Ac6 B6 Mo3 N18'
_cell_length_a 5.3727
_cell_length_b 5.3727
_cell_length_c 16.0411
_cell_angle_alpha 90.00
_cell_angle_beta 90.00
_cell_angle_gamma 120.00
_symmetry_space_group_name_H-M 'R -3 m'
_symmetry_Int_Tables_number 166
_symmetry_space_group_name_Hall '-R 3 2"'
loop_
_atom_site_label
_atom_site_fract_x
_atom_site_fract_y
_atom_site_fract_z
Ac1 0.0000 0.0000 0.2272
B1 0.0000 0.0000 0.4123
Mo1 0.0000 0.0000 0.0000
N1 0.0185 0.5093 0.2572
```


| no. | size of the total moment (Bohr magnetons per cell) | D(E_F) (states/eV/atom) |
| --- | --- | --- |
| 1 | 0.0 | 0.01 |
| 2 | 3.3 | 1.09 |
| 3 | 0.0 | 0.90 |
| 4 | 0.0 | 0.08 |